No. 1
An optimized crystal structure of VCdRh2, computed with PBE.

Results
As for the total energy: -48.8 eV/cell. The space group is I-42d (122). Its crystal system is tetragonal. The total magnetization is 0.000 μB/f.u. Its density of states at the Fermi level is 6.51 states/eV/cell. As for the energy relative to the elements: 8.5 kJ/mol of atoms.

Unit cell a=6.949 b=6.949 c=5.658 alpha=52.11 beta=52.11 gamma=90.00
Fractional positions:
1 Rh 0.574 0.125 0.250
2 Rh 0.176 0.625 0.250
3 Rh 0.875 0.824 0.750
4 Rh 0.375 0.426 0.750
5 Cd 0.000 0.000 0.000
6 Cd 0.750 0.250 0.500
7 V 0.250 0.750 0.500
8 V 0.500 0.500 0.000

---

No. 2
An optimized crystal structure of HfTi3H8, computed with PBE.

Results
As for the total energy: -66.5 eV/cell. The space group is I4/mmm (139). Its crystal system is tetragonal. The total magnetization is 0.000 μB/f.u. Its density of states at the Fermi level is 4.06 states/eV/cell.

Unit cell a=4.360 b=4.360 c=5.651 alpha=112.69 beta=112.69 gamma=90.00
Fractional positions:
1 H 0.872 0.872 0.259
2 H 0.613 0.613 0.741
3 H 0.128 0.128 0.741
4 H 0.387 0.387 0.259
5 H 0.613 0.128 0.741
6 H 0.387 0.872 0.259
7 H 0.128 0.613 0.741
8 H 0.872 0.387 0.259
9 Ti 0.750 0.250 0.500
10 Ti 0.500 0.500 0.000
11 Ti 0.250 0.750 0.500
12 Hf 0.000 0.000 0.000

---

No. 3
An optimized crystal structure of LaNdErGa, computed with PBE.

Results
As for the total energy: -17.8 eV/cell. The space group is F-43m (216). Its crystal system is cubic. The total magnetization is 0.082 μB/f.u. Its density of states at the Fermi level is 7.10 states/eV/cell. As for the energy relative to the elements: -11.4 kJ/mol of atoms.

Unit cell a=5.465 b=5.465 c=5.465 alpha=60.00 beta=60.00 gamma=60.00
Fractional positions:
1 Er 0.000 0.000 0.000
2 Nd 0.250 0.250 0.250
3 Ga 0.500 0.500 0.500
4 La 0.750 0.750 0.750

---

No. 4
An optimized crystal structure of Mg2ZnPt2, computed with PBE.

Results
As for the total energy: -38.4 eV/cell. The space group is P4/mbm (127). Its crystal system is tetragonal. The total magnetization is 0.000 μB/f.u. Its density of states at the Fermi level is 2.55 states/eV/cell. As for the energy relative to the elements: -51.0 kJ/mol of atoms.

Unit cell a=7.624 b=7.624 c=2.898 alpha=90.00 beta=90.00 gamma=90.00
Fractional positions:
1 Pt 0.838 0.338 0.500
2 Pt 0.338 0.162 0.500
3 Pt 0.162 0.662 0.500
4 Pt 0.662 0.838 0.500
5 Mg 0.135 0.365 0.000
6 Mg 0.865 0.635 0.000
7 Mg 0.635 0.135 0.000
8 Mg 0.365 0.865 0.000
9 Zn 0.500 0.500 0.000
10 Zn 0.000 0.000 0.000

---

No. 5
An optimized crystal structure of Ce5Os2Pt2, computed with PBE.

Results
The excess energy over the best structure of this formula in the dataset is 55 meV per atom. As for the total energy: -137.7 eV/cell. The space group is Ima2 (46). Its crystal system is orthorhombic. The total magnetization is 1.087 μB/f.u. Its density of states at the Fermi level is 35.31 states/eV/cell. As for the energy relative to the elements: -49.7 kJ/mol of atoms.

Unit cell a=7.177 b=7.290 c=9.868 alpha=111.68 beta=111.32 gamma=90.00
Site moments in Bohr magnetons follow the coordinates.
Fractional positions:
1 Os 0.899 0.468 0.840  -0.04
2 Os 0.559 0.129 0.160  -0.04
3 Os 0.101 0.629 0.160  -0.04
4 Os 0.441 0.968 0.840  -0.04
5 Ce 0.344 0.995 0.294  0.12
6 Ce 0.862 0.265 0.500  0.44
7 Ce 0.890 0.308 0.146  0.14
8 Ce 0.244 0.662 0.854  0.14
9 Ce 0.110 0.162 0.854  0.14
10 Ce 0.138 0.765 0.500  0.44
11 Ce 0.756 0.808 0.146  0.14
12 Ce 0.450 0.495 0.294  0.12
13 Ce 0.656 0.701 0.706  0.12
14 Ce 0.550 0.201 0.706  0.12
15 Pt 0.000 0.924 0.000  -0.01
16 Pt 0.735 0.885 0.500  -0.01
17 Pt 0.500 0.424 0.000  -0.01
18 Pt 0.265 0.385 0.500  -0.01

---

No. 6
An optimized crystal structure of Sc3CuC, computed with PBE.

Results
The excess energy over the best structure of this formula in the dataset is 0 meV per atom. As for the total energy: -33.7 eV/cell. The space group is Pm-3m (221). Its crystal system is cubic. The total magnetization is 1.755 μB/f.u. Its density of states at the Fermi level is 7.22 states/eV/cell. As for the energy relative to the elements: -27.2 kJ/mol of atoms.

Unit cell a=4.478 b=4.478 c=4.478 alpha=90.00 beta=90.00 gamma=90.00
Site moments in Bohr magnetons follow the coordinates.
Fractional positions:
1 Sc 0.000 0.500 0.000  0.28
2 Sc 0.000 0.000 0.500  0.24
3 Sc 0.500 0.000 0.000  0.30
4 Cu 0.500 0.500 0.500  0.03
5 C 0.000 0.000 0.000  -0.02

---

No. 7
An optimized crystal structure of Tb7Y3Mg2, computed with PBE.

Results
As for the total energy: -53.9 eV/cell. The space group is P2/m (10). Its crystal system is monoclinic. The total magnetization is 0.000 μB/f.u. Its density of states at the Fermi level is 16.52 states/eV/cell. As for the energy relative to the elements: 8.8 kJ/mol of atoms.

Unit cell a=3.562 b=5.747 c=18.972 alpha=104.03 beta=90.00 gamma=90.00
Fractional positions:
1 Tb 0.500 0.994 0.171
2 Tb 0.000 0.000 0.000
3 Tb 0.000 0.474 0.149
4 Tb 0.500 0.006 0.829
5 Tb 0.500 0.720 0.463
6 Tb 0.000 0.526 0.851
7 Tb 0.500 0.280 0.537
8 Mg 0.500 0.410 0.705
9 Mg 0.500 0.590 0.295
10 Y 0.500 0.500 0.000
11 Y 0.000 0.144 0.367
12 Y 0.000 0.856 0.633

---

No. 8
An optimized crystal structure of BePt5, computed with PBE.

Results
The excess energy over the best structure of this formula in the dataset is 0 meV per atom. As for the total energy: -35.7 eV/cell. The space group is P4/mmm (123). Its crystal system is tetragonal. The total magnetization is 0.001 μB/f.u. Its density of states at the Fermi level is 8.22 states/eV/cell. As for the energy relative to the elements: -29.1 kJ/mol of atoms.

Unit cell a=2.772 b=2.772 c=11.205 alpha=90.00 beta=90.00 gamma=90.00
Fractional positions:
1 Pt 0.000 0.000 0.333
2 Pt 0.500 0.500 0.515
3 Pt 0.000 0.000 0.704
4 Pt 0.000 0.000 0.962
5 Pt 0.500 0.500 0.152
6 Be 0.500 0.500 0.833

---

No. 9
An optimized crystal structure of ZnSiP2, computed with PBE.

Results
The excess energy over the best structure of this formula in the dataset is 763 meV per atom. As for the total energy: -15.7 eV/cell. The space group is Pmmm (47). Its crystal system is orthorhombic. The calculation puts the formation energy (no corrections) at 1.8 eV per formula unit. The total magnetization is 0.000 μB/f.u. Its density of states at the Fermi level is 1.73 states/eV/cell.

Unit cell a=3.489 b=5.572 c=3.407 alpha=90.00 beta=90.00 gamma=90.00
Fractional positions:
1 Si 0.500 0.000 0.500
2 P 0.000 0.000 0.000
3 P 0.500 0.500 0.000
4 Zn 0.000 0.500 0.500

---

No. 10
An optimized crystal structure of RbTbSe2O6, computed with PBE.

Results
As for the total energy: -59.7 eV/cell. The space group is R-3 (148). Its crystal system is trigonal. The calculation puts the formation energy (no corrections) at -17.4 eV per formula unit. The total magnetization is 0.000 μB/f.u. Its density of states at the Fermi level is 0.00 states/eV/cell.

Unit cell a=5.770 b=5.770 c=7.246 alpha=66.54 beta=66.54 gamma=60.00
Fractional positions:
1 O 0.069 0.536 0.706
2 O 0.536 0.690 0.706
3 O 0.310 0.931 0.294
4 O 0.931 0.464 0.294
5 O 0.690 0.069 0.706
6 O 0.464 0.310 0.294
7 Se 0.729 0.729 0.812
8 Se 0.271 0.271 0.188
9 Tb 0.500 0.500 0.500
10 Rb 0.000 0.000 0.000

---

No. 11
An optimized crystal structure of TiRePd3, computed with PBE.

Results
The excess energy over the best structure of this formula in the dataset is 0 meV per atom. As for the total energy: -30.0 eV/cell. The space group is Pm-3m (221). Its crystal system is cubic. The total magnetization is 1.742 μB/f.u. Its density of states at the Fermi level is 7.40 states/eV/cell. As for the energy relative to the elements: 113.7 kJ/mol of atoms.

Unit cell a=4.781 b=4.781 c=4.781 alpha=90.00 beta=90.00 gamma=90.00
Site moments in Bohr magnetons follow the coordinates.
Fractional positions:
1 Re 0.000 0.000 0.000  -0.12
2 Pd 0.500 0.000 0.000  0.02
3 Pd 0.000 0.500 0.000  -0.01
4 Pd 0.000 0.000 0.500  0.00
5 Ti 0.500 0.500 0.500  1.51

---

No. 12
An optimized crystal structure of Tm2MnZnC, computed with PBE.

Results
As for the total energy: -30.2 eV/cell. The space group is P4/mmm (123). Its crystal system is tetragonal. The total magnetization is 1.006 μB/f.u. Its density of states at the Fermi level is 5.10 states/eV/cell. As for the energy relative to the elements: -30.1 kJ/mol of atoms.

Unit cell a=3.740 b=4.867 c=4.867 alpha=90.00 beta=90.00 gamma=90.00
Site moments in Bohr magnetons follow the coordinates.
Fractional positions:
1 Zn 0.500 0.500 0.500  -0.03
2 Tm 0.000 0.500 0.000  -0.11
3 Tm 0.000 0.000 0.500  -0.11
4 C 0.000 0.000 0.000  -0.07
5 Mn 0.500 0.000 0.000  1.33